(1)
A relaxed SiAgPt2 crystal. Source: Alexandria via LeMat-Bulk, functional GGA-PBE.

total moment	0.0	μB/cell
theoretical density	13.76	g cm⁻³
DFT total energy	-21.30	eV per formula unit
formation energy without anion corrections	-0.24	eV per atom

abc: 5.333 5.333 4.867
angles: 63.32 63.32 31.23
Atoms (fractional coordinates):
Ag: 0.786 0.786 0.770
Si: 0.515 0.515 0.375
Pt: 0.994 0.994 0.001
Pt: 0.206 0.206 0.355

=====

(2)
A relaxed KTcCl4 crystal. Source: Alexandria via LeMat-Bulk, functional GGA-PBE.

total moment	6.2	μB/cell
theoretical density	2.93	g cm⁻³
energy above the most stable polymorph in this dataset	1536	meV per atom
DFT total energy	-16.42	eV per formula unit
formation energy without anion corrections	0.41	eV per atom

abc: 6.072 6.072 6.072
angles: 60.00 60.00 60.00
Site moments in Bohr magnetons follow the coordinates.
Atoms (fractional coordinates):
Tc: 0.000 0.000 0.000  3.96
Cl: 0.876 0.375 0.375  0.34
Cl: 0.375 0.375 0.375  0.34
Cl: 0.375 0.876 0.375  0.34
Cl: 0.375 0.375 0.876  0.34
K: 0.750 0.750 0.750  0.01

=====

(3)
A relaxed Sm2AgSb4 crystal. Source: Alexandria via LeMat-Bulk, functional GGA-PBE.

total moment	0.0	μB/cell
theoretical density	7.66	g cm⁻³
DFT total energy	-33.43	eV per formula unit
formation energy without anion corrections	-0.66	eV per atom

abc: 4.447 4.447 9.815
angles: 90.00 90.00 90.00
Atoms (fractional coordinates):
Sb: 0.000 0.500 0.836
Sb: 0.500 0.000 0.164
Sb: 0.500 0.500 0.500
Sb: 0.000 0.000 0.500
Sm: 0.000 0.500 0.247
Sm: 0.500 0.000 0.753
Ag: 0.500 0.500 0.000

=====

(4)
A relaxed LiNbBi2Pd crystal. Source: Alexandria via LeMat-Bulk, functional GGA-PBE.

total moment	0.0	μB/cell
theoretical density	6.85	g cm⁻³
DFT total energy	-22.71	eV per formula unit
calculated formation energy	0.45	eV per atom

abc: 5.481 5.035 5.481
angles: 90.00 90.00 90.00
Atoms (fractional coordinates):
Bi: 0.000 0.000 0.500
Bi: 0.500 0.000 0.000
Nb: 0.000 0.000 0.000
Pd: 0.000 0.500 0.000
Li: 0.500 0.500 0.500

=====

(5)
A relaxed Co2AgSe2 crystal. Source: Alexandria via LeMat-Bulk, functional GGA-PBE.

total moment	0.0	μB/cell
theoretical density	7.17	g cm⁻³
DFT total energy	-24.08	eV per formula unit
formation energy without anion corrections	-0.01	eV per atom

abc: 3.582 3.582 7.371
angles: 75.94 75.94 90.00
Atoms (fractional coordinates):
Co: 0.250 0.750 0.500
Co: 0.750 0.250 0.500
Se: 0.358 0.358 0.283
Se: 0.642 0.642 0.717
Ag: 0.000 0.000 0.000

=====

(6)
A relaxed NdC6N9 crystal. Source: Alexandria via LeMat-Bulk, functional GGA-PBE.

total moment	0.0	μB/cell
theoretical density	2.28	g cm⁻³
DFT total energy	-135.00	eV per formula unit
formation energy without anion corrections	0.00	eV per atom

abc: 7.143 7.143 10.649
angles: 90.00 90.00 113.48
Atoms (fractional coordinates):
C: 0.728 0.560 0.250
C: 0.708 0.002 0.055
C: 0.440 0.272 0.250
C: 0.998 0.292 0.055
C: 0.292 0.998 0.555
C: 0.272 0.440 0.750
C: 0.708 0.002 0.445
C: 0.002 0.708 0.555
C: 0.560 0.728 0.750
C: 0.002 0.708 0.945
C: 0.998 0.292 0.445
C: 0.292 0.998 0.945
N: 0.861 0.576 0.601
N: 0.470 0.530 0.750
N: 0.576 0.861 0.399
N: 0.861 0.576 0.899
N: 0.845 0.155 0.504
N: 0.907 0.651 0.250
N: 0.424 0.139 0.899
N: 0.576 0.861 0.101
N: 0.845 0.155 0.996
N: 0.651 0.907 0.750
N: 0.155 0.845 0.496
N: 0.139 0.424 0.101
N: 0.155 0.845 0.004
N: 0.530 0.470 0.250
N: 0.139 0.424 0.399
N: 0.093 0.349 0.750
N: 0.424 0.139 0.601
N: 0.349 0.093 0.250
Nd: 0.281 0.719 0.250
Nd: 0.719 0.281 0.750

=====

(7)
A relaxed SiPb4Se crystal. Source: Alexandria via LeMat-Bulk, functional GGA-PBE.

total moment	0.0	μB/cell
theoretical density	8.48	g cm⁻³
DFT total energy	-20.53	eV per formula unit
formation energy without anion corrections	0.54	eV per atom

abc: 6.376 6.376 6.376
angles: 60.00 60.00 60.00
Atoms (fractional coordinates):
Pb: 0.876 0.375 0.375
Pb: 0.375 0.876 0.375
Pb: 0.375 0.375 0.375
Pb: 0.375 0.375 0.876
Si: 0.000 0.000 0.000
Se: 0.750 0.750 0.750

=====

(8)
A relaxed AcPmTcO6 crystal. Source: Alexandria via LeMat-Bulk, functional GGA-PBE.

total moment	1.0	μB/cell
theoretical density	6.48	g cm⁻³
DFT total energy	-71.06	eV per formula unit
formation energy without anion corrections	-2.45	eV per atom

abc: 5.665 5.665 5.221
angles: 90.00 90.00 60.00
Site moments in Bohr magnetons follow the coordinates.
Atoms (fractional coordinates):
Tc: 0.333 0.333 0.500  0.77
O: 0.334 0.050 0.713  0.02
O: 0.616 0.335 0.713  0.02
O: 0.616 0.050 0.287  0.02
O: 0.050 0.334 0.287  0.02
O: 0.050 0.616 0.713  0.02
O: 0.335 0.616 0.287  0.02
Ac: 0.000 0.000 0.000  0.02
Pm: 0.667 0.667 0.500  0.01

=====

(9)
A relaxed NpNi2Ir crystal. Source: Alexandria via LeMat-Bulk, functional GGA-PBE.

total moment	2.4	μB/cell
theoretical density	15.12	g cm⁻³
energy above the most stable polymorph in this dataset	0	meV per atom
DFT total energy	-34.15	eV per formula unit
calculated formation energy	-0.20	eV per atom

abc: 3.936 3.905 3.905
angles: 90.00 90.00 90.00
Site moments in Bohr magnetons follow the coordinates.
Atoms (fractional coordinates):
Np: 0.500 0.500 0.500  2.86
Ir: 0.500 0.000 0.000  -0.26
Ni: 0.000 0.000 0.500  -0.13
Ni: 0.000 0.500 0.000  -0.13

=====

(10)
A relaxed Na3Mg2Tl8 crystal. Source: Alexandria via LeMat-Bulk, functional GGA-PBE.

total moment	0.0	μB/cell
theoretical density	7.82	g cm⁻³
energy above the most stable polymorph in this dataset	0	meV per atom
DFT total energy	-26.56	eV per formula unit
calculated formation energy	-0.04	eV per atom

abc: 5.033 8.048 9.565
angles: 73.93 89.98 89.96
Atoms (fractional coordinates):
Tl: 0.500 0.548 0.158
Tl: 0.000 0.614 0.620
Tl: 0.500 0.104 0.324
Tl: 0.000 0.148 0.760
Tl: 0.500 0.452 0.842
Tl: 0.000 0.852 0.240
Tl: 0.000 0.386 0.380
Tl: 0.500 0.896 0.676
Mg: 0.500 0.702 0.423
Mg: 0.500 0.298 0.577
Na: 0.500 0.000 0.000
Na: 0.000 0.725 0.924
Na: 0.000 0.275 0.076

=====

(11)
A relaxed Cs2NdGaSe4 crystal. Source: Alexandria via LeMat-Bulk, functional GGA-PBE.

total moment	0.0	μB/cell
theoretical density	3.93	g cm⁻³
DFT total energy	-33.22	eV per formula unit
formation energy without anion corrections	-1.22	eV per atom

abc: 6.532 8.307 13.873
angles: 84.69 76.38 66.85
Atoms (fractional coordinates):
Se: 0.561 0.196 0.105
Se: 0.888 0.696 0.605
Se: 0.244 0.196 0.895
Se: 0.506 0.304 0.605
Se: 0.862 0.804 0.895
Se: 0.334 0.804 0.105
Se: 0.189 0.304 0.395
Se: 0.416 0.696 0.395
Ga: 0.250 0.500 0.500
Ga: 0.500 0.000 0.000
Cs: 0.569 0.500 0.862
Cs: 0.931 0.500 0.138
Cs: 0.819 0.000 0.362
Cs: 0.181 0.000 0.638
Nd: 0.750 0.500 0.500
Nd: 0.000 0.000 0.000

=====

(12)
A relaxed KAl4Ga12 crystal. Source: Alexandria via LeMat-Bulk, functional GGA-PBE.

total moment	0.0	μB/cell
theoretical density	4.36	g cm⁻³
DFT total energy	-50.35	eV per formula unit
calculated formation energy	0.12	eV per atom

abc: 7.867 7.867 7.867
angles: 109.47 109.47 109.47
Atoms (fractional coordinates):
Ga: 0.848 0.642 0.491
Ga: 0.358 0.509 0.152
Ga: 0.491 0.848 0.642
Ga: 0.794 0.152 0.642
Ga: 0.358 0.206 0.848
Ga: 0.152 0.642 0.794
Ga: 0.206 0.848 0.358
Ga: 0.152 0.358 0.509
Ga: 0.642 0.491 0.848
Ga: 0.848 0.358 0.206
Ga: 0.509 0.152 0.358
Ga: 0.642 0.794 0.152
Al: 0.000 0.500 0.000
Al: 0.500 0.000 0.000
Al: 0.000 0.000 0.500
Al: 0.500 0.500 0.500
K: 0.000 0.000 0.000